1.
AcPm2Hg7: optimized geometry, PBE.

a b c (Å): 5.2166 5.2166 12.0502
angles (deg): 90.00 90.00 120.00
Space group P3m1 (No. 156)
Symmetry-distinct sites (fractional):
Ac1 0.0000 0.0000 0.0000 (multiplicity 1)
Pm1 0.3333 0.6667 0.6593 (multiplicity 1)
Pm2 0.6667 0.3333 0.4323 (multiplicity 1)
Hg1 0.0000 0.0000 0.2959 (multiplicity 1)
Hg2 0.0000 0.0000 0.5641 (multiplicity 1)
Hg3 0.3333 0.6667 0.1542 (multiplicity 1)
Hg4 0.3333 0.6667 0.3983 (multiplicity 1)
Hg5 0.3333 0.6667 0.9022 (multiplicity 1)
Hg6 0.6667 0.3333 0.1400 (multiplicity 1)
Hg7 0.6667 0.3333 0.7957 (multiplicity 1)

## Properties
The total energy is -0.139 Ry per atom. For the total moment, the calculation gives 0.000 μB per formula unit.

2.
AcPmHg17: optimized geometry, PBE.

a b c (Å): 9.8153 9.8153 18.4562
angles (deg): 90.00 90.00 120.00
Space group R3m (No. 160, hexagonal axes)
Symmetry-distinct sites (fractional):
Ac1 0.0000 0.0000 0.0000 (multiplicity 3)
Pm1 0.0000 0.0000 0.2944 (multiplicity 3)
Hg1 0.0000 0.0000 0.5389 (multiplicity 3)
Hg2 0.0000 0.0000 0.7007 (multiplicity 3)
Hg3 0.0238 0.3531 0.2970 (multiplicity 18)
Hg4 0.2028 0.4056 0.0961 (multiplicity 9)
Hg5 0.2133 0.4266 0.4892 (multiplicity 9)
Hg6 0.2145 0.4290 0.8208 (multiplicity 9)

## Properties
The total energy is -0.064 Ry per atom. For the total moment, the calculation gives 0.000 μB per formula unit.

3.
Ac2Pm3Hg4: optimized geometry, PBE.

a b c (Å): 7.292 17.920 8.816
angles (deg): 90.00 90.00 90.00
Space group Cmce (No. 64)
Symmetry-distinct sites (fractional):
Ac1 0.000 0.101 0.084 (multiplicity 8)
Pm1 0.000 0.000 0.500 (multiplicity 4)
Pm2 0.250 0.232 0.750 (multiplicity 8)
Hg1 0.000 0.175 0.469 (multiplicity 8)
Hg2 0.250 0.057 0.750 (multiplicity 8)

## Properties
The total energy is -0.219 Ry per atom. For the total moment, the calculation gives 0.000 μB per formula unit.

4.
Ac2PmHg6: optimized geometry, PBE.

a b c (Å): 8.7927 8.7927 3.8151
angles (deg): 90.00 90.00 120.00
Space group P6/mmm (No. 191)
Symmetry-distinct sites (fractional):
Ac1 0.3333 0.6667 0.0000 (multiplicity 2)
Pm1 0.0000 0.0000 0.0000 (multiplicity 1)
Hg1 0.0000 0.3290 0.5000 (multiplicity 6)

## Properties
The total energy is -0.153 Ry per atom. For the total moment, the calculation gives 0.001 μB per formula unit.